## w
First-principles (PBE) data for a relaxed Ta3NbTc crystal, as listed in Alexandria via LeMat-Bulk.

V (Å³ per cell): 370
M_tot (μB per formula unit): 0.00

Structure (CIF):
```
data_Ta3NbTc
_chemical_formula_sum 'Ta12 Nb4 Tc4'
_symmetry_space_group_name_H-M 'P n m a'
_symmetry_Int_Tables_number 62
_symmetry_space_group_name_Hall '-P 2ac 2n'
_cell_length_a 5.270
_cell_length_b 9.031
_cell_length_c 7.780
_cell_angle_alpha 90.00
_cell_angle_beta 90.00
_cell_angle_gamma 90.00
loop_
_atom_site_label
_atom_site_fract_x
_atom_site_fract_y
_atom_site_fract_z
Ta1 0.078 0.055 0.163
Ta2 0.204 0.250 0.475
Nb1 0.188 0.250 0.835
Tc1 0.000 0.000 0.500
```

=====

## x
First-principles (PBE) data for a relaxed Ta3NbTc crystal, as listed in Alexandria via LeMat-Bulk.

V (Å³ per cell): 108
M_tot (μB per formula unit): 0.00

Structure (CIF):
```
data_Ta3NbTc
_chemical_formula_sum 'Ta3 Nb1 Tc1'
_symmetry_space_group_name_H-M 'P m -3 m'
_symmetry_Int_Tables_number 221
_symmetry_space_group_name_Hall '-P 4 2 3'
_cell_length_a 4.766
_cell_length_b 4.766
_cell_length_c 4.766
_cell_angle_alpha 90.00
_cell_angle_beta 90.00
_cell_angle_gamma 90.00
loop_
_atom_site_label
_atom_site_fract_x
_atom_site_fract_y
_atom_site_fract_z
Ta1 0.000 0.000 0.500
Nb1 0.500 0.500 0.500
Tc1 0.000 0.000 0.000
```

=====

## y
First-principles (PBE) data for a relaxed Ta3NbTc crystal, as listed in Alexandria via LeMat-Bulk.

V (Å³ per cell): 347
M_tot (μB per formula unit): 0.00

Structure (CIF):
```
data_Ta3NbTc
_chemical_formula_sum 'Ta12 Nb4 Tc4'
_symmetry_space_group_name_H-M 'C 1 2/m 1'
_symmetry_Int_Tables_number 12
_symmetry_space_group_name_Hall '-C 2y'
_cell_length_a 13.627
_cell_length_b 4.560
_cell_length_c 5.638
_cell_angle_alpha 90.00
_cell_angle_beta 98.51
_cell_angle_gamma 90.00
loop_
_atom_site_label
_atom_site_fract_x
_atom_site_fract_y
_atom_site_fract_z
Ta1 0.004 0.000 0.254
Ta2 0.101 0.500 0.952
Ta3 0.199 0.000 0.642
Nb1 0.199 0.000 0.146
Tc1 0.099 0.500 0.453
```

=====

## z
First-principles (PBE) data for a relaxed Ta3NbTc crystal, as listed in Alexandria via LeMat-Bulk.

V (Å³ per cell): 110
M_tot (μB per formula unit): 1.66

Structure (CIF):
```
data_Ta3NbTc
_chemical_formula_sum 'Ta3 Nb1 Tc1'
_symmetry_space_group_name_H-M 'P m -3 m'
_symmetry_Int_Tables_number 221
_symmetry_space_group_name_Hall '-P 4 2 3'
_cell_length_a 4.787
_cell_length_b 4.787
_cell_length_c 4.787
_cell_angle_alpha 90.00
_cell_angle_beta 90.00
_cell_angle_gamma 90.00
loop_
_atom_site_label
_atom_site_fract_x
_atom_site_fract_y
_atom_site_fract_z
Ta1 0.000 0.000 0.500
Nb1 0.000 0.000 0.000
Tc1 0.500 0.500 0.500
```

=====

Pick y: it beats the second-best structure by 351 meV/atom.

=====

## w
First-principles (PBE) data for a relaxed TaNbTc crystal, as listed in Alexandria via LeMat-Bulk.

V (Å³ per cell): 473
M_tot (μB per formula unit): 0.00

Structure (CIF):
```
data_TaNbTc
_chemical_formula_sum 'Ta8 Nb8 Tc8'
_symmetry_space_group_name_H-M 'F m m m'
_symmetry_Int_Tables_number 69
_symmetry_space_group_name_Hall '-F 2 2'
_cell_length_a 6.148
_cell_length_b 6.171
_cell_length_c 12.460
_cell_angle_alpha 90.00
_cell_angle_beta 90.00
_cell_angle_gamma 90.00
loop_
_atom_site_label
_atom_site_fract_x
_atom_site_fract_y
_atom_site_fract_z
Ta1 0.250 0.250 0.000
Nb1 0.250 0.250 0.250
Tc1 0.000 0.000 0.126
```

=====

## x
First-principles (PBE) data for a relaxed TaNbTc crystal, as listed in Alexandria via LeMat-Bulk.

V (Å³ per cell): 212
M_tot (μB per formula unit): 0.00

Structure (CIF):
```
data_TaNbTc
_chemical_formula_sum 'Ta4 Nb4 Tc4'
_symmetry_space_group_name_H-M 'P n m a'
_symmetry_Int_Tables_number 62
_symmetry_space_group_name_Hall '-P 2ac 2n'
_cell_length_a 9.318
_cell_length_b 2.990
_cell_length_c 7.605
_cell_angle_alpha 90.00
_cell_angle_beta 90.00
_cell_angle_gamma 90.00
loop_
_atom_site_label
_atom_site_fract_x
_atom_site_fract_y
_atom_site_fract_z
Ta1 0.118 0.250 0.105
Nb1 0.116 0.250 0.732
Tc1 0.134 0.750 0.425
```

=====

Pick x: it beats the second-best structure by 139 meV/atom.

=====

## w
First-principles (PBE) data for a relaxed TaNb2Tc2 crystal, as listed in Alexandria via LeMat-Bulk.

V (Å³ per cell): 173
M_tot (μB per formula unit): 0.00

Structure (CIF):
```
data_TaNb2Tc2
_chemical_formula_sum 'Ta2 Nb4 Tc4'
_symmetry_space_group_name_H-M 'C m m m'
_symmetry_Int_Tables_number 65
_symmetry_space_group_name_Hall '-C 2 2'
_cell_length_a 3.134
_cell_length_b 17.667
_cell_length_c 3.130
_cell_angle_alpha 90.00
_cell_angle_beta 90.00
_cell_angle_gamma 90.00
loop_
_atom_site_label
_atom_site_fract_x
_atom_site_fract_y
_atom_site_fract_z
Ta1 0.000 0.000 0.000
Nb1 0.000 0.183 0.000
Tc1 0.000 0.410 0.500
```

=====

## x
First-principles (PBE) data for a relaxed TaNb2Tc2 crystal, as listed in Alexandria via LeMat-Bulk.

V (Å³ per cell): 174
M_tot (μB per formula unit): 0.00

Structure (CIF):
```
data_TaNb2Tc2
_chemical_formula_sum 'Ta2 Nb4 Tc4'
_symmetry_space_group_name_H-M 'P 4/m b m'
_symmetry_Int_Tables_number 127
_symmetry_space_group_name_Hall '-P 4 2ab'
_cell_length_a 7.373
_cell_length_b 7.373
_cell_length_c 3.195
_cell_angle_alpha 90.00
_cell_angle_beta 90.00
_cell_angle_gamma 90.00
loop_
_atom_site_label
_atom_site_fract_x
_atom_site_fract_y
_atom_site_fract_z
Ta1 0.000 0.000 0.000
Nb1 0.165 0.335 0.500
Tc1 0.140 0.640 0.000
```

=====

Pick w: it beats the second-best structure by 213 meV/atom.

=====

## w
First-principles (PBE) data for a relaxed TaNb2Tc crystal, as listed in Alexandria via LeMat-Bulk.

V (Å³ per cell): 275
M_tot (μB per formula unit): 0.00

Structure (CIF):
```
data_TaNb2Tc
_chemical_formula_sum 'Ta4 Nb8 Tc4'
_symmetry_space_group_name_H-M 'F m -3 m'
_symmetry_Int_Tables_number 225
_symmetry_space_group_name_Hall '-F 4 2 3'
_cell_length_a 6.499
_cell_length_b 6.499
_cell_length_c 6.499
_cell_angle_alpha 90.00
_cell_angle_beta 90.00
_cell_angle_gamma 90.00
loop_
_atom_site_label
_atom_site_fract_x
_atom_site_fract_y
_atom_site_fract_z
Ta1 0.000 0.000 0.000
Nb1 0.250 0.250 0.250
Tc1 0.000 0.000 0.500
```

=====

## x
First-principles (PBE) data for a relaxed TaNb2Tc crystal, as listed in Alexandria via LeMat-Bulk.

V (Å³ per cell): 69
M_tot (μB per formula unit): 0.00

Structure (CIF):
```
data_TaNb2Tc
_chemical_formula_sum 'Ta1 Nb2 Tc1'
_symmetry_space_group_name_H-M 'P 4/m m m'
_symmetry_Int_Tables_number 123
_symmetry_space_group_name_Hall '-P 4 2'
_cell_length_a 3.234
_cell_length_b 3.234
_cell_length_c 6.575
_cell_angle_alpha 90.00
_cell_angle_beta 90.00
_cell_angle_gamma 90.00
loop_
_atom_site_label
_atom_site_fract_x
_atom_site_fract_y
_atom_site_fract_z
Ta1 0.000 0.000 0.000
Nb1 0.500 0.500 0.259
Tc1 0.000 0.000 0.500
```

=====

Pick x: it beats the second-best structure by 52 meV/atom.